No. 1
VASP calculation (PBE with a Hubbard U) on a relaxed Ba5Er8Ni4O21 crystal.

POSCAR file:
```
Ba5Er8Ni4O21
1.0
-6.867 6.867 2.849
6.867 -6.867 2.849
6.867 6.867 -2.849
Ba Er Ni O
5 8 4 21
Cartesian
0.000 0.000 0.000 Ba
6.352 1.904 0.000 Ba
4.963 -0.515 2.849 Ba
1.904 7.381 0.000 Ba
0.515 4.963 2.849 Ba
10.302 2.296 0.000 Er
2.296 3.432 0.000 Er
8.084 4.908 0.000 Er
4.908 5.649 0.000 Er
1.959 1.218 2.849 Er
-1.218 1.959 2.849 Er
4.570 3.435 2.849 Er
-3.435 4.570 2.849 Er
3.363 0.559 0.000 Ni
6.308 -3.504 2.849 Ni
0.559 10.370 0.000 Ni
3.504 6.308 2.849 Ni
4.841 -3.331 1.444 O
8.674 0.532 0.000 O
6.209 4.418 -1.425 O
10.198 -2.026 1.405 O
2.448 -0.658 1.424 O
4.418 7.525 -1.425 O
0.532 5.060 0.000 O
3.535 2.026 1.405 O
0.658 2.448 1.424 O
8.893 3.331 1.444 O
0.000 0.000 2.849 O
-2.026 3.535 1.405 O
6.209 4.418 1.425 O
3.331 4.841 1.444 O
6.335 1.807 2.849 O
2.448 -0.658 4.274 O
4.418 7.525 1.425 O
-3.331 8.893 1.444 O
0.658 2.448 4.274 O
-1.807 6.335 2.849 O
2.026 10.198 1.405 O
```

## Properties
crystal system	tetragonal
theoretical density	8.02	Mg/m³
uncorrected energy	-267.47	eV/cell
magnetization	0.209	μB per atom

=====

No. 2
VASP calculation (PBE with a Hubbard U) on a relaxed BaEr2NiO5 crystal.

POSCAR file:
```
BaEr2NiO5
1.0
-1.891 2.884 5.669
1.891 -2.884 5.669
1.891 2.884 -5.669
Ba Er Ni O
1 2 1 5
Cartesian
0.000 0.000 0.000 Ba
1.891 0.000 3.363 Er
0.000 2.884 2.306 Er
0.000 0.000 5.669 Ni
1.891 1.502 -1.713 O
1.891 1.502 1.713 O
0.000 2.884 0.000 O
0.000 1.382 3.957 O
0.000 1.382 7.382 O
```

## Properties
crystal system	orthorhombic
theoretical density	8.20	Mg/m³
uncorrected energy	-63.70	eV/cell
magnetization	0.222	μB per atom